This record from the Alexandria database describes Ti2GeF after structural relaxation. The functional is PBE.

POSCAR file:
```
Ti2GeF
1.0
4.788 0.000 0.000
0.000 4.788 0.000
2.394 2.394 6.183
Ti Ge F
4 2 2
Direct
0.219 0.625 0.250
0.875 0.781 0.750
0.375 0.469 0.750
0.531 0.125 0.250
0.750 0.250 0.500
0.000 0.000 0.000
0.500 0.500 0.000
0.250 0.750 0.500
```

Calculated values
The calculation puts the energy at -6.20 eV per atom. The space group is I-42d. The total magnetization is 1.95 μB/cell.